# PBEsol ZrZn3P, relaxed
# Size of the total moment ... 0.0 μB per formula unit
# Fermi-level density of states ... 0.585 states/eV/atom
# Calculated formation energy ... 0.47 eV per atom
data_ZrZn3P
_chemical_formula_sum 'Zr1 Zn3 P1'
_cell_length_a 4.4934
_cell_length_b 4.4934
_cell_length_c 4.4934
_cell_angle_alpha 90.00
_cell_angle_beta 90.00
_cell_angle_gamma 90.00
_space_group_name_H-M_alt 'P m -3 m'
_space_group_IT_number 221
_space_group_name_Hall '-P 4 2 3'
loop_
_atom_site_label
_atom_site_type_symbol
_atom_site_fract_x
_atom_site_fract_y
_atom_site_fract_z
_atom_site_occupancy
Zr1 Zr 0.0000 0.0000 0.0000 1
Zn1 Zn 0.0000 0.5000 0.5000 1
P1 P 0.5000 0.5000 0.5000 1